# 1
Density functional theory data (GGA-PBE) for a geometry-optimized SbPd2Pt2 structure.

a = 7.2528 Å, b = 7.2528 Å, c = 7.2528 Å
α = 150.56°, β = 150.56°, γ = 42.11°
Element x y z (fractional)
Sb 0.0000 0.0000 0.0000
Pd 0.2500 0.7500 0.5000
Pd 0.7500 0.2500 0.5000
Pt 0.4005 0.4005 0.0000
Pt 0.5995 0.5995 0.0000

Results
The calculation puts the uncorrected formation energy at 58 meV per atom. The density of states at the Fermi level comes out at 4.2 states/eV per cell. Its crystal system is tetragonal. The energy above the most stable polymorph in this dataset is 205 meV per atom. The total energy comes out at -5.26 eV per atom. For the spin magnetization, the calculation gives 0.00 μB per cell.


# 2
Density functional theory data (GGA-PBE) for a geometry-optimized Sb2PdPt2 structure.

a = 4.0600 Å, b = 4.0695 Å, c = 7.4733 Å
α = 90.13°, β = 105.59°, γ = 119.86°
Element x y z (fractional)
Sb 0.1826 0.0894 0.2761
Sb 0.8174 0.9106 0.7239
Pd 0.0000 0.5000 0.5000
Pt 0.2632 0.6321 0.8944
Pt 0.7368 0.3679 0.1056

Results
The calculation puts the uncorrected formation energy at -416 meV per atom. The density of states at the Fermi level comes out at 1.4 states/eV per cell. Its crystal system is triclinic. The energy above the most stable polymorph in this dataset is 0 meV per atom. The total energy comes out at -5.52 eV per atom. For the spin magnetization, the calculation gives 0.00 μB per cell.


# 3
Density functional theory data (GGA-PBE) for a geometry-optimized SbPd4Pt structure.

a = 9.0553 Å, b = 8.2313 Å, c = 5.4387 Å
α = 80.14°, β = 63.58°, γ = 36.28°
Element x y z (fractional)
Sb 0.1250 0.1250 0.1250
Sb 0.8750 0.8750 0.8750
Pd 0.0272 0.5412 0.2173
Pd 0.2173 0.7143 0.0272
Pd 0.2857 0.7827 0.4588
Pd 0.4588 0.9728 0.2857
Pd 0.5412 0.0272 0.7143
Pd 0.7143 0.2173 0.5412
Pd 0.7827 0.2857 0.9728
Pd 0.9728 0.4588 0.7827
Pt 0.3750 0.3750 0.3750
Pt 0.6250 0.6250 0.6250

Results
The calculation puts the uncorrected formation energy at -233 meV per atom. The density of states at the Fermi level comes out at 8.4 states/eV per cell. Its crystal system is orthorhombic. The energy above the most stable polymorph in this dataset is 0 meV per atom. The total energy comes out at -5.39 eV per atom. For the spin magnetization, the calculation gives 0.00 μB per cell.


# 4
Density functional theory data (GGA-PBE) for a geometry-optimized Sb2Pd7Pt structure.

a = 8.8130 Å, b = 8.8130 Å, c = 2.9116 Å
α = 90.00°, β = 90.00°, γ = 123.04°
Element x y z (fractional)
Sb 0.1763 0.8237 0.0000
Sb 0.8237 0.1763 0.0000
Pd 0.0000 0.0000 0.0000
Pd 0.1784 0.3631 0.0000
Pd 0.3176 0.6824 0.5000
Pd 0.3631 0.1784 0.0000
Pd 0.6369 0.8216 0.0000
Pd 0.6824 0.3176 0.5000
Pd 0.8216 0.6369 0.0000
Pt 0.5000 0.5000 0.5000

Results
The calculation puts the uncorrected formation energy at -29 meV per atom. The density of states at the Fermi level comes out at 11.8 states/eV per cell. Its crystal system is orthorhombic. The total energy comes out at -5.09 eV per atom. For the spin magnetization, the calculation gives 0.00 μB per cell.


# 5
Density functional theory data (GGA-PBE) for a geometry-optimized SbPdPt2 structure.

a = 5.8644 Å, b = 5.8644 Å, c = 5.8644 Å
α = 102.36°, β = 102.36°, γ = 124.88°
Element x y z (fractional)
Sb 0.0000 0.0000 0.0000
Sb 0.7500 0.2500 0.5000
Pd 0.2500 0.7500 0.5000
Pd 0.5000 0.5000 0.0000
Pt 0.1110 0.6250 0.9860
Pt 0.3750 0.3610 0.4860
Pt 0.6390 0.1250 0.0140
Pt 0.8750 0.8890 0.5140

Results
The calculation puts the uncorrected formation energy at -183 meV per atom. The density of states at the Fermi level comes out at 5.2 states/eV per cell. Its crystal system is tetragonal. The total energy comes out at -5.53 eV per atom. For the spin magnetization, the calculation gives 0.00 μB per cell.


# 6
Density functional theory data (GGA-PBE) for a geometry-optimized Sb2PdPt2 structure.

a = 7.5869 Å, b = 7.5869 Å, c = 7.5869 Å
α = 150.72°, β = 150.72°, γ = 41.89°
Element x y z (fractional)
Sb 0.1100 0.1100 0.0000
Sb 0.8900 0.8900 0.0000
Pd 0.5000 0.5000 0.0000
Pt 0.2500 0.7500 0.5000
Pt 0.7500 0.2500 0.5000

Results
The calculation puts the uncorrected formation energy at -102 meV per atom. The density of states at the Fermi level comes out at 2.7 states/eV per cell. Its crystal system is tetragonal. The energy above the most stable polymorph in this dataset is 314 meV per atom. The total energy comes out at -5.21 eV per atom. For the spin magnetization, the calculation gives 0.00 μB per cell.